#w
The following is a DFT calculation (GGA-PBE) of an optimized crystal structure of Cd4Br.

Geometry as extended XYZ:
```
5
Lattice="-3.5295 3.5295 3.5295 3.5295 -3.5295 3.5295 3.5295 3.5295 -3.5295" Properties=species:S:1:pos:R:3 pbc="T T T"
Cd 1.7648 1.7648 -1.7648
Cd 1.7648 -1.7648 1.7648
Cd -1.7648 1.7648 1.7648
Cd 1.7648 1.7648 1.7648
Br 0.0000 0.0000 0.0000
```

Properties
* DOS at the Fermi energy: 2.4 states/eV/f.u.

***

#x
The following is a DFT calculation (GGA-PBE) of an optimized crystal structure of Cd4Br.

Geometry as extended XYZ:
```
5
Lattice="6.0511 0.0000 0.0000 0.0000 6.0511 0.0000 0.0000 0.0000 6.0511" Properties=species:S:1:pos:R:3 pbc="T T T"
Cd 0.0000 0.0000 0.0000
Cd 0.0000 3.0255 3.0255
Cd 3.0255 0.0000 3.0255
Cd 3.0255 3.0255 0.0000
Br 3.0255 3.0255 3.0255
```

Properties
* DOS at the Fermi energy: 4.9 states/eV/f.u.

***

Which structure is the most stable? The one labeled #w.

***

#w
The following is a DFT calculation (GGA-PBE) of an optimized crystal structure of CeCdBr6.

Geometry as extended XYZ:
```
8
Lattice="3.4763 -6.4972 0.0000 3.4763 6.4972 0.0000 -2.2841 0.0000 6.5689" Properties=species:S:1:pos:R:3 pbc="T T T"
Ce 0.0000 0.0000 0.0000
Cd 2.3342 0.0000 3.2844
Br 1.1898 1.9557 1.6712
Br -0.0383 0.0000 4.9692
Br 1.1898 -1.9557 1.6712
Br 3.4787 1.9557 4.8977
Br 4.7067 0.0000 1.5997
Br 3.4787 -1.9557 4.8977
```

***

#x
The following is a DFT calculation (GGA-PBE) of an optimized crystal structure of CeCdBr6.

Geometry as extended XYZ:
```
8
Lattice="3.5064 2.0244 6.4161 -3.5064 2.0244 6.4161 0.0000 -4.0489 6.4161" Properties=species:S:1:pos:R:3 pbc="T T T"
Ce 0.0000 0.0000 0.0000
Cd 0.0000 0.0000 9.6241
Br -1.1118 -2.0364 8.0269
Br -2.3195 -0.0553 11.2214
Br -1.2077 1.9811 8.0269
Br 1.2077 -1.9811 11.2214
Br 2.3195 0.0553 8.0269
Br 1.1118 2.0364 11.2214
```

***

Which structure is the most stable? The one labeled #w.

***

#w
The following is a DFT calculation (GGA-PBE) of an optimized crystal structure of Ce2CdBr.

Geometry as extended XYZ:
```
4
Lattice="2.2051 1.2731 7.0289 -2.2051 1.2731 7.0289 0.0000 -2.5462 7.0289" Properties=species:S:1:pos:R:3 pbc="T T T"
Ce 0.0000 0.0000 5.0848
Ce 0.0000 0.0000 16.0019
Cd 0.0000 0.0000 0.0000
Br 0.0000 0.0000 10.5434
```

Properties
* DOS at the Fermi energy: 14.6 states/eV/f.u.

***

#x
The following is a DFT calculation (GGA-PBE) of an optimized crystal structure of Ce2CdBr.

Geometry as extended XYZ:
```
4
Lattice="3.5116 0.0000 0.0000 0.0000 3.5116 0.0000 0.0000 0.0000 8.5966" Properties=species:S:1:pos:R:3 pbc="T T T"
Ce 0.0000 0.0000 2.0945
Ce 0.0000 0.0000 6.5021
Cd 1.7558 1.7558 4.2983
Br 1.7558 1.7558 0.0000
```

Properties
* DOS at the Fermi energy: 12.0 states/eV/f.u.

***

Which structure is the most stable? The one labeled #x.

***

#w
The following is a DFT calculation (GGA-PBE) of an optimized crystal structure of Cd2BrCl.

Geometry as extended XYZ:
```
4
Lattice="0.0000 3.6952 3.6952 3.6952 0.0000 3.6952 3.6952 3.6952 0.0000" Properties=species:S:1:pos:R:3 pbc="T T T"
Cd 0.0000 0.0000 0.0000
Cd 1.8476 1.8476 1.8476
Br 3.6952 3.6952 3.6952
Cl 5.5428 5.5428 5.5428
```

Properties
* DOS at the Fermi energy: 3.3 states/eV/f.u.

***

#x
The following is a DFT calculation (GGA-PBE) of an optimized crystal structure of Cd2BrCl.

Geometry as extended XYZ:
```
4
Lattice="2.1687 1.2521 6.9973 -2.1687 1.2521 6.9973 0.0000 -2.5042 6.9973" Properties=species:S:1:pos:R:3 pbc="T T T"
Cd 0.0000 0.0000 5.1723
Cd 0.0000 0.0000 15.8197
Br 0.0000 0.0000 0.0000
Cl 0.0000 0.0000 10.4960
```

Properties
* DOS at the Fermi energy: 2.2 states/eV/f.u.

***

#y
The following is a DFT calculation (GGA-PBE) of an optimized crystal structure of Cd2BrCl.

Geometry as extended XYZ:
```
8
Lattice="-3.3614 3.3614 6.6322 3.3614 -3.3614 6.6322 3.3614 3.3614 -6.6322" Properties=species:S:1:pos:R:3 pbc="T T T"
Cd 5.0421 1.5730 -1.6581
Cd 1.5730 1.6807 1.6581
Cd -1.6807 1.7884 4.9742
Cd 1.7884 1.6807 8.2903
Br 3.3614 0.0000 3.3161
Br 0.0000 0.0000 6.6322
Cl 0.0000 0.0000 0.0000
Cl 0.0000 3.3614 3.3161
```

Properties
* DOS at the Fermi energy: 2.7 states/eV/f.u.

***

Which structure is the most stable? The one labeled #x.

***

#w
The following is a DFT calculation (GGA-PBE) of an optimized crystal structure of Cd2BrCl.

Geometry as extended XYZ:
```
4
Lattice="1.9529 -3.3263 0.0000 1.9529 3.3263 0.0000 0.0000 0.0000 9.2070" Properties=species:S:1:pos:R:3 pbc="T T T"
Cd 0.0000 0.0000 0.0000
Cd 1.9529 0.0000 2.2837
Br 1.9529 0.0000 7.3645
Cl 0.0000 0.0000 3.9579
```

Properties
* DOS at the Fermi energy: 0.7 states/eV/f.u.

***

#x
The following is a DFT calculation (GGA-PBE) of an optimized crystal structure of Cd2BrCl.

Geometry as extended XYZ:
```
4
Lattice="0.0000 3.6919 3.6919 3.6919 0.0000 3.6919 3.6919 3.6919 0.0000" Properties=species:S:1:pos:R:3 pbc="T T T"
Cd 1.8460 1.8460 1.8460
Cd 5.5379 5.5379 5.5379
Br 0.0000 0.0000 0.0000
Cl 3.6919 3.6919 3.6919
```

Properties
* DOS at the Fermi energy: 6.7 states/eV/f.u.

***

#y
The following is a DFT calculation (GGA-PBE) of an optimized crystal structure of Cd2BrCl.

Geometry as extended XYZ:
```
4
Lattice="-2.0630 2.0630 6.9155 2.0630 -2.0630 6.9155 2.0630 2.0630 -6.9155" Properties=species:S:1:pos:R:3 pbc="T T T"
Cd 0.0000 0.0000 0.0000
Cd 0.0000 2.0630 3.4577
Br 0.0000 0.0000 6.9155
Cl 2.0630 0.0000 3.4577
```

Properties
* DOS at the Fermi energy: 2.5 states/eV/f.u.

***

#z
The following is a DFT calculation (GGA-PBE) of an optimized crystal structure of Cd2BrCl.

Geometry as extended XYZ:
```
4
Lattice="3.7575 0.0000 0.0000 0.0000 3.5007 0.0000 -1.8518 0.0000 8.4310" Properties=species:S:1:pos:R:3 pbc="T T T"
Cd 0.0000 0.0000 0.0000
Cd -0.0269 1.7503 2.3861
Br 1.8593 0.0000 3.8597
Cl 0.0073 1.7503 7.1456
```

Properties
* DOS at the Fermi energy: 0.5 states/eV/f.u.

***

Which structure is the most stable? The one labeled #z.

***

#w
The following is a DFT calculation (GGA-PBE) of an optimized crystal structure of Cd2BrCl.

Geometry as extended XYZ:
```
4
Lattice="3.7917 0.0000 0.0000 0.0000 3.7917 0.0000 0.0000 0.0000 7.1073" Properties=species:S:1:pos:R:3 pbc="T T T"
Cd 0.0000 0.0000 1.5842
Cd 0.0000 0.0000 5.5231
Br 1.8959 1.8959 3.5537
Cl 1.8959 1.8959 0.0000
```

Properties
* DOS at the Fermi energy: 2.7 states/eV/f.u.

***

#x
The following is a DFT calculation (GGA-PBE) of an optimized crystal structure of Cd2BrCl.

Geometry as extended XYZ:
```
4
Lattice="1.9286 1.1135 8.8646 -1.9286 1.1135 8.8646 0.0000 -2.2269 8.8646" Properties=species:S:1:pos:R:3 pbc="T T T"
Cd 0.0000 0.0000 0.0000
Cd 0.0000 0.0000 6.7312
Br 0.0000 0.0000 13.8966
Cl 0.0000 0.0000 19.2484
```

Properties
* DOS at the Fermi energy: 0.7 states/eV/f.u.

***

Which structure is the most stable? The one labeled #x.